1.
# MgAs2Rh

A geometry-optimized MgAs2Rh structure (GGA-PBEsol, the Alexandria database).

```
data_MgAs2Rh
_cell_length_a 5.835
_cell_length_b 5.835
_cell_length_c 10.999
_cell_angle_alpha 90.00
_cell_angle_beta 90.00
_cell_angle_gamma 90.00
_symmetry_space_group_name_H-M 'I -4 2 d'
_symmetry_Int_Tables_number 122
_symmetry_space_group_name_Hall 'I -4 2bw'
loop_
_atom_site_label
_atom_site_type_symbol
_atom_site_fract_x
_atom_site_fract_y
_atom_site_fract_z
Mg1 Mg 0.000 0.000 0.000
As1 As 0.205 0.250 0.625
Rh1 Rh 0.000 0.000 0.500
```

## Properties
The value obtained for the formation energy is -0.0653 eV per atom. Its volume is 23.4 Å³ per atom. The calculation puts the density at 4.9 g cm⁻³. As for the raw total energy: -5.082 eV per atom.

2.
# MgAsRh2

A geometry-optimized MgAsRh2 structure (GGA-PBEsol, the Alexandria database).

```
data_MgAsRh2
_cell_length_a 3.949
_cell_length_b 4.194
_cell_length_c 6.878
_cell_angle_alpha 90.00
_cell_angle_beta 90.00
_cell_angle_gamma 90.00
_symmetry_space_group_name_H-M 'I m m m'
_symmetry_Int_Tables_number 71
_symmetry_space_group_name_Hall '-I 2 2'
loop_
_atom_site_label
_atom_site_type_symbol
_atom_site_fract_x
_atom_site_fract_y
_atom_site_fract_z
Mg1 Mg 0.000 0.000 0.000
As1 As 0.000 0.000 0.500
Rh1 Rh 0.000 0.500 0.234
```

## Properties
The value obtained for the formation energy is -0.4462 eV per atom. Its volume is 14.2 Å³ per atom. The calculation puts the density at 8.9 g cm⁻³. As for the raw total energy: -6.221 eV per atom.

3.
# MgAs2Rh

A geometry-optimized MgAs2Rh structure (GGA-PBEsol, the Alexandria database).

```
data_MgAs2Rh
_cell_length_a 3.016
_cell_length_b 3.937
_cell_length_c 5.553
_cell_angle_alpha 90.00
_cell_angle_beta 90.00
_cell_angle_gamma 90.00
_symmetry_space_group_name_H-M 'P m m 2'
_symmetry_Int_Tables_number 25
loop_
_symmetry_equiv_pos_as_xyz
'x,y,z'
'-x,-y,z'
'-x,y,z'
'x,-y,z'
loop_
_atom_site_label
_atom_site_type_symbol
_atom_site_fract_x
_atom_site_fract_y
_atom_site_fract_z
Mg1 Mg 0.000 0.000 0.000
As1 As 0.000 0.000 0.476
As2 As 0.500 0.500 0.809
Rh1 Rh 0.500 0.500 0.329
```

## Properties
The value obtained for the formation energy is -0.2315 eV per atom. Its volume is 16.5 Å³ per atom. The calculation puts the density at 7.0 g cm⁻³. As for the raw total energy: -5.249 eV per atom.

4.
# MgAs2Rh

A geometry-optimized MgAs2Rh structure (GGA-PBEsol, the Alexandria database).

```
data_MgAs2Rh
_cell_length_a 3.056
_cell_length_b 3.789
_cell_length_c 12.123
_cell_angle_alpha 90.00
_cell_angle_beta 90.00
_cell_angle_gamma 90.00
_symmetry_space_group_name_H-M 'I m m 2'
_symmetry_Int_Tables_number 44
loop_
_symmetry_equiv_pos_as_xyz
'x,y,z'
'-x,-y,z'
'-x,y,z'
'x,-y,z'
'x+1/2,y+1/2,z+1/2'
'-x+1/2,-y+1/2,z+1/2'
'-x+1/2,y+1/2,z+1/2'
'x+1/2,-y+1/2,z+1/2'
loop_
_atom_site_label
_atom_site_type_symbol
_atom_site_fract_x
_atom_site_fract_y
_atom_site_fract_z
Mg1 Mg 0.000 0.000 0.000
As1 As 0.000 0.000 0.393
As2 As 0.000 0.500 0.166
Rh1 Rh 0.000 0.500 0.731
```

## Properties
The value obtained for the formation energy is -0.2921 eV per atom. Its volume is 17.5 Å³ per atom. The calculation puts the density at 6.6 g cm⁻³. As for the raw total energy: -5.309 eV per atom.

5.
# MgAsRh2

A geometry-optimized MgAsRh2 structure (GGA-PBEsol, the Alexandria database).

```
data_MgAsRh2
_cell_length_a 4.433
_cell_length_b 2.932
_cell_length_c 9.246
_cell_angle_alpha 90.00
_cell_angle_beta 90.00
_cell_angle_gamma 90.00
_symmetry_space_group_name_H-M 'A m m 2'
_symmetry_Int_Tables_number 38
loop_
_symmetry_equiv_pos_as_xyz
'x,y,z'
'-x,-y,z'
'-x,y,z'
'x,-y,z'
'x,y+1/2,z+1/2'
'-x,-y+1/2,z+1/2'
'-x,y+1/2,z+1/2'
'x,-y+1/2,z+1/2'
loop_
_atom_site_label
_atom_site_type_symbol
_atom_site_fract_x
_atom_site_fract_y
_atom_site_fract_z
Mg1 Mg 0.000 0.000 0.000
As1 As 0.500 0.000 0.357
Rh1 Rh 0.000 0.000 0.264
Rh2 Rh 0.500 0.000 0.631
```

## Properties
The value obtained for the formation energy is -0.3653 eV per atom. Its volume is 15.0 Å³ per atom. The calculation puts the density at 8.4 g cm⁻³. As for the raw total energy: -6.140 eV per atom.

6.
# Mg2AsRh2

A geometry-optimized Mg2AsRh2 structure (GGA-PBEsol, the Alexandria database).

```
data_Mg2AsRh2
_cell_length_a 6.253
_cell_length_b 6.253
_cell_length_c 4.205
_cell_angle_alpha 90.00
_cell_angle_beta 90.00
_cell_angle_gamma 90.00
_symmetry_space_group_name_H-M 'P 4/m b m'
_symmetry_Int_Tables_number 127
_symmetry_space_group_name_Hall '-P 4 2ab'
loop_
_atom_site_label
_atom_site_type_symbol
_atom_site_fract_x
_atom_site_fract_y
_atom_site_fract_z
Mg1 Mg 0.161 0.339 0.000
As1 As 0.000 0.000 0.500
Rh1 Rh 0.153 0.653 0.500
```

## Properties
The value obtained for the formation energy is -0.4787 eV per atom. Its volume is 16.4 Å³ per atom. The calculation puts the density at 6.7 g cm⁻³. As for the raw total energy: -5.442 eV per atom.

7.
# MgAs3Ru

A geometry-optimized MgAs3Ru structure (GGA-PBEsol, the Alexandria database).

```
data_MgAs3Ru
_cell_length_a 4.719
_cell_length_b 4.719
_cell_length_c 4.719
_cell_angle_alpha 90.00
_cell_angle_beta 90.00
_cell_angle_gamma 90.00
_symmetry_space_group_name_H-M 'P m -3 m'
_symmetry_Int_Tables_number 221
_symmetry_space_group_name_Hall '-P 4 2 3'
loop_
_atom_site_label
_atom_site_type_symbol
_atom_site_fract_x
_atom_site_fract_y
_atom_site_fract_z
Mg1 Mg 0.000 0.000 0.000
As1 As 0.000 0.000 0.500
Ru1 Ru 0.500 0.500 0.500
```

## Properties
The value obtained for the formation energy is 1.3631 eV per atom. Its volume is 21.0 Å³ per atom. The calculation puts the density at 5.5 g cm⁻³. As for the raw total energy: -4.079 eV per atom.

8.
# MgSi2AsRu

A geometry-optimized MgSi2AsRu structure (GGA-PBEsol, the Alexandria database).

```
data_MgSi2AsRu
_cell_length_a 4.477
_cell_length_b 4.477
_cell_length_c 5.030
_cell_angle_alpha 90.00
_cell_angle_beta 90.00
_cell_angle_gamma 90.00
_symmetry_space_group_name_H-M 'P 4/m m m'
_symmetry_Int_Tables_number 123
_symmetry_space_group_name_Hall '-P 4 2'
loop_
_atom_site_label
_atom_site_type_symbol
_atom_site_fract_x
_atom_site_fract_y
_atom_site_fract_z
Mg1 Mg 0.000 0.000 0.000
Si1 Si 0.000 0.500 0.500
As1 As 0.500 0.500 0.000
Ru1 Ru 0.000 0.000 0.500
```

## Properties
Its volume is 20.2 Å³ per atom. The calculation puts the density at 4.2 g cm⁻³. The value obtained for the formation energy without anion corrections is 0.2836 eV/atom. As for the raw total energy: -5.414 eV per atom.

9.
# Mg2SbAs

A geometry-optimized Mg2SbAs structure (GGA-PBEsol, the Alexandria database).

```
data_Mg2SbAs
_cell_length_a 6.060
_cell_length_b 7.526
_cell_length_c 3.758
_cell_angle_alpha 90.00
_cell_angle_beta 90.00
_cell_angle_gamma 90.00
_symmetry_space_group_name_H-M 'C m m m'
_symmetry_Int_Tables_number 65
_symmetry_space_group_name_Hall '-C 2 2'
loop_
_atom_site_label
_atom_site_type_symbol
_atom_site_fract_x
_atom_site_fract_y
_atom_site_fract_z
Mg1 Mg 0.250 0.250 0.000
Sb1 Sb 0.000 0.000 0.500
As1 As 0.000 0.500 0.500
```

## Properties
Its volume is 21.4 Å³ per atom. The calculation puts the density at 4.8 g cm⁻³. The value obtained for the relative energy among the computed polymorphs is 24 kJ/mol of formula units. The value obtained for the formation energy without anion corrections is -0.1989 eV/atom. As for the raw total energy: -3.473 eV per atom.

10.
# Mg2SbAs

A geometry-optimized Mg2SbAs structure (GGA-PBEsol, the Alexandria database).

```
data_Mg2SbAs
_cell_length_a 3.197
_cell_length_b 4.380
_cell_length_c 6.421
_cell_angle_alpha 90.00
_cell_angle_beta 90.00
_cell_angle_gamma 90.00
_symmetry_space_group_name_H-M 'P m m 2'
_symmetry_Int_Tables_number 25
loop_
_symmetry_equiv_pos_as_xyz
'x,y,z'
'-x,-y,z'
'-x,y,z'
'x,-y,z'
loop_
_atom_site_label
_atom_site_type_symbol
_atom_site_fract_x
_atom_site_fract_y
_atom_site_fract_z
Mg1 Mg 0.000 0.000 0.000
Mg2 Mg 0.500 0.500 0.336
Sb1 Sb 0.000 0.000 0.515
As1 As 0.500 0.500 0.923
```

## Properties
Its volume is 22.5 Å³ per atom. The calculation puts the density at 4.5 g cm⁻³. The value obtained for the relative energy among the computed polymorphs is 0 kJ/mol of formula units. The value obtained for the formation energy without anion corrections is -0.2604 eV/atom. As for the raw total energy: -3.535 eV per atom.

11.
# MgSb2As

A geometry-optimized MgSb2As structure (GGA-PBEsol, the Alexandria database).

```
data_MgSb2As
_cell_length_a 6.252
_cell_length_b 9.694
_cell_length_c 3.210
_cell_angle_alpha 90.00
_cell_angle_beta 108.96
_cell_angle_gamma 90.00
_symmetry_space_group_name_H-M 'C 1 2/m 1'
_symmetry_Int_Tables_number 12
loop_
_symmetry_equiv_pos_as_xyz
'x,y,z'
'-x,-y,-z'
'-x,y,-z'
'x,-y,z'
'x+1/2,y+1/2,z'
'-x+1/2,-y+1/2,-z'
'-x+1/2,y+1/2,-z'
'x+1/2,-y+1/2,z'
loop_
_atom_site_label
_atom_site_type_symbol
_atom_site_fract_x
_atom_site_fract_y
_atom_site_fract_z
Mg1 Mg 0.000 0.000 0.000
Sb1 Sb 0.250 0.250 0.500
As1 As 0.000 0.500 0.000
```

## Properties
Its volume is 23.0 Å³ per atom. The calculation puts the density at 6.2 g cm⁻³. The value obtained for the relative energy among the computed polymorphs is 42 kJ/mol of formula units. The value obtained for the formation energy without anion corrections is 0.0848 eV/atom. As for the raw total energy: -3.900 eV per atom.

12.
# MgSb2As

A geometry-optimized MgSb2As structure (GGA-PBEsol, the Alexandria database).

```
data_MgSb2As
_cell_length_a 4.786
_cell_length_b 4.786
_cell_length_c 8.100
_cell_angle_alpha 90.00
_cell_angle_beta 90.00
_cell_angle_gamma 90.00
_symmetry_space_group_name_H-M 'I -4 m 2'
_symmetry_Int_Tables_number 119
_symmetry_space_group_name_Hall 'I -4 -2'
loop_
_atom_site_label
_atom_site_type_symbol
_atom_site_fract_x
_atom_site_fract_y
_atom_site_fract_z
Mg1 Mg 0.000 0.000 0.000
Sb1 Sb 0.000 0.000 0.500
Sb2 Sb 0.000 0.500 0.750
As1 As 0.000 0.500 0.250
```

## Properties
Its volume is 23.2 Å³ per atom. The calculation puts the density at 6.1 g cm⁻³. The value obtained for the relative energy among the computed polymorphs is 38 kJ/mol of formula units. The value obtained for the formation energy without anion corrections is 0.0752 eV/atom. As for the raw total energy: -3.909 eV per atom.

13.
# MgSb2As

A geometry-optimized MgSb2As structure (GGA-PBEsol, the Alexandria database).

```
data_MgSb2As
_cell_length_a 3.9402
_cell_length_b 3.9402
_cell_length_c 22.0876
_cell_angle_alpha 90.00
_cell_angle_beta 90.00
_cell_angle_gamma 120.00
_symmetry_space_group_name_H-M 'R -3 m'
_symmetry_Int_Tables_number 166
_symmetry_space_group_name_Hall '-R 3 2"'
loop_
_atom_site_label
_atom_site_type_symbol
_atom_site_fract_x
_atom_site_fract_y
_atom_site_fract_z
Mg1 Mg 0.0000 0.0000 0.0000
Sb1 Sb 0.0000 0.0000 0.2447
As1 As 0.0000 0.0000 0.5000
```

## Properties
Its volume is 24.7 Å³ per atom. The calculation puts the density at 5.7 g cm⁻³. The value obtained for the relative energy among the computed polymorphs is 0 kJ/mol of formula units. The value obtained for the formation energy without anion corrections is -0.0237 eV/atom. As for the raw total energy: -4.008 eV per atom.

14.
# MgSbAs4

A geometry-optimized MgSbAs4 structure (GGA-PBEsol, the Alexandria database).

```
data_MgSbAs4
_cell_length_a 7.912
_cell_length_b 7.912
_cell_length_c 7.912
_cell_angle_alpha 90.00
_cell_angle_beta 90.00
_cell_angle_gamma 90.00
_symmetry_space_group_name_H-M 'F -4 3 m'
_symmetry_Int_Tables_number 216
_symmetry_space_group_name_Hall 'F -4 2 3'
loop_
_atom_site_label
_atom_site_type_symbol
_atom_site_fract_x
_atom_site_fract_y
_atom_site_fract_z
Mg1 Mg 0.000 0.000 0.000
Sb1 Sb 0.250 0.250 0.750
As1 As 0.125 0.125 0.375
```

## Properties
Its volume is 20.6 Å³ per atom. The calculation puts the density at 6.0 g cm⁻³. The value obtained for the formation energy without anion corrections is 0.2544 eV/atom. As for the raw total energy: -4.196 eV per atom.

15.
# Mg4ScAs

A geometry-optimized Mg4ScAs structure (GGA-PBEsol, the Alexandria database).

```
data_Mg4ScAs
_cell_length_a 8.071
_cell_length_b 8.071
_cell_length_c 8.071
_cell_angle_alpha 90.00
_cell_angle_beta 90.00
_cell_angle_gamma 90.00
_symmetry_space_group_name_H-M 'F -4 3 m'
_symmetry_Int_Tables_number 216
_symmetry_space_group_name_Hall 'F -4 2 3'
loop_
_atom_site_label
_atom_site_type_symbol
_atom_site_fract_x
_atom_site_fract_y
_atom_site_fract_z
Mg1 Mg 0.125 0.125 0.125
Sc1 Sc 0.000 0.000 0.500
As1 As 0.250 0.250 0.750
```

## Properties
The value obtained for the formation energy is 0.1247 eV per atom. Its volume is 21.9 Å³ per atom. The calculation puts the density at 2.7 g cm⁻³. As for the raw total energy: -2.972 eV per atom.